# PmMgCuPd PBE relaxed
data_PmMgCuPd
_chemical_formula_sum 'Pm4 Mg4 Cu4 Pd4'
_cell_length_a 6.8478
_cell_length_b 6.8478
_cell_length_c 6.8478
_cell_angle_alpha 90.00
_cell_angle_beta 90.00
_cell_angle_gamma 90.00
_space_group_name_H-M_alt 'F -4 3 m'
_space_group_IT_number 216
_space_group_name_Hall 'F -4 2 3'
loop_
_atom_site_label
_atom_site_type_symbol
_atom_site_fract_x
_atom_site_fract_y
_atom_site_fract_z
Pm1 Pm 0.0000 0.0000 0.0000
Mg1 Mg 0.0000 0.0000 0.5000
Cu1 Cu 0.2500 0.2500 0.7500
Pd1 Pd 0.2500 0.2500 0.2500
# * DFT formation energy: -0.441 eV per atom
# * total moment: 0.000 μB/atom